{
  "formula": "Li7Ca3Bi4",
  "functional": "PBE",
  "state": "relaxed",
  "lattice_angstrom": [[-0.388, 1.915, 4.361], [7.720, -1.551, 3.985], [3.642, 8.130, -0.628]],
  "species": ["Li", "Li", "Li", "Li", "Li", "Li", "Li", "Ca", "Ca", "Ca", "Bi", "Bi", "Bi", "Bi"],
  "frac_coords": [[0.327, 0.837, 0.510], [0.471, 0.252, 0.806], [0.835, 0.430, 0.901], [0.673, 0.163, 0.490], [0.165, 0.570, 0.099], [0.000, 0.000, 0.000], [0.529, 0.748, 0.194], [0.308, 0.146, 0.239], [0.692, 0.854, 0.761], [0.000, 0.500, 0.500], [0.678, 0.408, 0.237], [0.322, 0.592, 0.763], [0.904, 0.870, 0.322], [0.096, 0.130, 0.678]],
  "dft_energy_ev_per_fu": -43.45,
  "density_g_cm3": 4.800,
  "delta_e_f_kcal_per_mol_atoms": -14.0,
  "sg": "No. 12"
}